1.
# ZrNiSn (PBE, relaxed)
data_ZrNiSn
_space_group_name_H-M_alt 'P 1'
_space_group_IT_number 1
_space_group_name_Hall 'P 1'
_cell_length_a 4.422
_cell_length_b 4.422
_cell_length_c 3.267
_cell_angle_alpha 90.00
_cell_angle_beta 90.00
_cell_angle_gamma 120.00
loop_
_atom_site_label
_atom_site_type_symbol
_atom_site_fract_x
_atom_site_fract_y
_atom_site_fract_z
Zr1 Zr 0.000 0.000 0.000
Ni1 Ni 0.667 0.333 0.500
Sn1 Sn 0.333 0.667 0.500
# - Energy relative to the elements: -461 meV/atom
# - Total DFT energy (no corrections): -6.57 eV/atom

=====

2.
# CeSm2Te (PBE, relaxed)
data_CeSm2Te
_space_group_name_H-M_alt 'P 1'
_space_group_IT_number 1
_space_group_name_Hall 'P 1'
_cell_length_a 3.912
_cell_length_b 3.912
_cell_length_c 7.914
_cell_angle_alpha 90.00
_cell_angle_beta 90.00
_cell_angle_gamma 90.00
loop_
_atom_site_label
_atom_site_type_symbol
_atom_site_fract_x
_atom_site_fract_y
_atom_site_fract_z
Ce1 Ce 0.000 0.000 0.000
Sm1 Sm 0.500 0.500 0.275
Sm2 Sm 0.500 0.500 0.725
Te1 Te 0.000 0.000 0.500
# - E_form (uncorrected): -0.537 eV per atom
# - Total DFT energy (no corrections): -5.17 eV/atom
# - Polymorph energy (0 for the lowest one): 0.000 eV per atom

=====

3.
# Ho4SiTe2P (PBE, relaxed)
data_Ho4SiTe2P
_space_group_name_H-M_alt 'P 1'
_space_group_IT_number 1
_space_group_name_Hall 'P 1'
_cell_length_a 7.197
_cell_length_b 4.153
_cell_length_c 7.416
_cell_angle_alpha 90.00
_cell_angle_beta 108.82
_cell_angle_gamma 90.00
loop_
_atom_site_label
_atom_site_type_symbol
_atom_site_fract_x
_atom_site_fract_y
_atom_site_fract_z
Ho1 Ho 0.237 0.000 0.213
Ho2 Ho 0.261 0.500 0.784
Ho3 Ho 0.739 0.500 0.216
Ho4 Ho 0.763 0.000 0.787
Si1 Si 0.500 0.000 0.000
Te1 Te 0.000 0.000 0.500
Te2 Te 0.500 0.500 0.500
P1 P 0.000 0.500 0.000
# - E_form (uncorrected): -1.325 eV per atom
# - Total DFT energy (no corrections): -5.75 eV/atom

=====

4.
# PmPuZn2 (PBE, relaxed)
data_PmPuZn2
_space_group_name_H-M_alt 'P 1'
_space_group_IT_number 1
_space_group_name_Hall 'P 1'
_cell_length_a 5.106
_cell_length_b 5.106
_cell_length_c 3.639
_cell_angle_alpha 90.00
_cell_angle_beta 90.00
_cell_angle_gamma 90.00
loop_
_atom_site_label
_atom_site_type_symbol
_atom_site_fract_x
_atom_site_fract_y
_atom_site_fract_z
Pm1 Pm 0.000 0.000 0.000
Pu1 Pu 0.500 0.500 0.000
Zn1 Zn 0.000 0.500 0.500
Zn2 Zn 0.500 0.000 0.500
# - Energy relative to the elements: -174 meV/atom
# - Total DFT energy (no corrections): -5.58 eV/atom
# - Polymorph energy (0 for the lowest one): 0.000 eV per atom

=====

5.
# MnRe (PBE, relaxed)
data_MnRe
_space_group_name_H-M_alt 'P 1'
_space_group_IT_number 1
_space_group_name_Hall 'P 1'
_cell_length_a 4.610
_cell_length_b 4.610
_cell_length_c 4.610
_cell_angle_alpha 132.31
_cell_angle_beta 132.31
_cell_angle_gamma 69.75
loop_
_atom_site_label
_atom_site_type_symbol
_atom_site_fract_x
_atom_site_fract_y
_atom_site_fract_z
Mn1 Mn 0.375 0.625 0.750
Mn2 Mn 0.625 0.375 0.250
Re1 Re 0.125 0.875 0.250
Re2 Re 0.875 0.125 0.750
# - Energy relative to the elements: 88 meV/atom
# - Total DFT energy (no corrections): -10.72 eV/atom

=====

6.
# Er4ZnPd (PBE, relaxed)
data_Er4ZnPd
_space_group_name_H-M_alt 'P 1'
_space_group_IT_number 1
_space_group_name_Hall 'P 1'
_cell_length_a 9.448
_cell_length_b 9.448
_cell_length_c 9.448
_cell_angle_alpha 60.00
_cell_angle_beta 60.00
_cell_angle_gamma 60.00
loop_
_atom_site_label
_atom_site_type_symbol
_atom_site_fract_x
_atom_site_fract_y
_atom_site_fract_z
Er1 Er 0.184 0.184 0.816
Er2 Er 0.184 0.816 0.184
Er3 Er 0.184 0.816 0.816
Er4 Er 0.388 0.388 0.388
Er5 Er 0.388 0.388 0.837
Er6 Er 0.388 0.837 0.388
Er7 Er 0.561 0.561 0.939
Er8 Er 0.561 0.939 0.561
Er9 Er 0.561 0.939 0.939
Er10 Er 0.816 0.184 0.184
Er11 Er 0.816 0.184 0.816
Er12 Er 0.816 0.816 0.184
Er13 Er 0.837 0.388 0.388
Er14 Er 0.939 0.561 0.561
Er15 Er 0.939 0.561 0.939
Er16 Er 0.939 0.939 0.561
Zn1 Zn 0.167 0.167 0.167
Zn2 Zn 0.167 0.167 0.499
Zn3 Zn 0.167 0.499 0.167
Zn4 Zn 0.499 0.167 0.167
Pd1 Pd 0.194 0.602 0.602
Pd2 Pd 0.602 0.194 0.602
Pd3 Pd 0.602 0.602 0.194
Pd4 Pd 0.602 0.602 0.602
# - Energy relative to the elements: -443 meV/atom
# - Total DFT energy (no corrections): -4.56 eV/atom
# - Polymorph energy (0 for the lowest one): 0.000 eV per atom

=====

7.
# TiMn3Os (PBE, relaxed)
data_TiMn3Os
_space_group_name_H-M_alt 'P 1'
_space_group_IT_number 1
_space_group_name_Hall 'P 1'
_cell_length_a 4.576
_cell_length_b 4.576
_cell_length_c 4.576
_cell_angle_alpha 90.00
_cell_angle_beta 90.00
_cell_angle_gamma 90.00
loop_
_atom_site_label
_atom_site_type_symbol
_atom_site_fract_x
_atom_site_fract_y
_atom_site_fract_z
Ti1 Ti 0.000 0.000 0.000
Mn1 Mn 0.000 0.500 0.500
Mn2 Mn 0.500 0.000 0.500
Mn3 Mn 0.500 0.500 0.000
Os1 Os 0.500 0.500 0.500
# - Energy relative to the elements: 1160 meV/atom
# - Total DFT energy (no corrections): -8.17 eV/atom
# - Polymorph energy (0 for the lowest one): 0.000 eV per atom

=====

8.
# B5C7 (PBE, relaxed)
data_B5C7
_space_group_name_H-M_alt 'P 1'
_space_group_IT_number 1
_space_group_name_Hall 'P 1'
_cell_length_a 3.681
_cell_length_b 4.682
_cell_length_c 5.383
_cell_angle_alpha 108.03
_cell_angle_beta 91.88
_cell_angle_gamma 113.07
loop_
_atom_site_label
_atom_site_type_symbol
_atom_site_fract_x
_atom_site_fract_y
_atom_site_fract_z
B1 B 0.000 0.000 0.000
B2 B 0.056 0.690 0.364
B3 B 0.376 0.336 0.532
B4 B 0.440 0.384 0.038
B5 B 0.666 0.010 0.661
C1 C 0.059 0.667 0.860
C2 C 0.288 0.677 0.626
C3 C 0.301 0.689 0.111
C4 C 0.583 0.300 0.272
C5 C 0.659 0.364 0.789
C6 C 0.696 0.009 0.208
C7 C 0.951 0.009 0.440
# - Energy relative to the elements: 362 meV/atom
# - Total DFT energy (no corrections): -7.80 eV/atom
# - Polymorph energy (0 for the lowest one): 0.104 eV per atom